First-principles (PBE-GGA) data for a geometry-optimized CeErMo structure, as listed in the Alexandria database.

Lattice parameters (Å, degrees): 4.6361 5.5514 6.5449 97.51 110.74 90.00
Closest atoms and distances in Å follow each position.
Fractional positions:
Mo 0.2640 0.8759 0.5280  1 Ce 2.38
Mo 0.7360 0.1241 0.4720  1 Ce 2.38
Ce 0.5917 0.7888 0.1834  1 Mo 2.38
Ce 0.4083 0.2112 0.8166  1 Mo 2.38
Er 0.1306 0.3490 0.2612  4 Mo 3.01-3.28
Er 0.8694 0.6510 0.7388  4 Mo 3.01-3.28

## Properties
DOS at the Fermi energy: 1.461 states/eV per atom
ΔE_f: 46.5 kJ/mol of formula units